<1>
In2Cu2Ag: relaxed, GGA-PBE.

```
data_In2Cu2Ag
_chemical_formula_sum 'In4 Cu4 Ag2'
_cell_length_a 4.253
_cell_length_b 4.253
_cell_length_c 11.215
_cell_angle_alpha 90.00
_cell_angle_beta 90.00
_cell_angle_gamma 90.00
_symmetry_space_group_name_H-M 'I 4/m m m'
_symmetry_Int_Tables_number 139
_symmetry_space_group_name_Hall '-I 4 2'
loop_
_atom_site_label
_atom_site_type_symbol
_atom_site_fract_x
_atom_site_fract_y
_atom_site_fract_z
In1 In 0.000 0.500 0.250
Cu1 Cu 0.000 0.000 0.103
Ag1 Ag 0.000 0.000 0.500
```



<2>
In2Cu2Ag: relaxed, GGA-PBE.

```
data_In2Cu2Ag
_chemical_formula_sum 'In4 Cu4 Ag2'
_cell_length_a 3.405
_cell_length_b 3.405
_cell_length_c 16.259
_cell_angle_alpha 90.00
_cell_angle_beta 90.00
_cell_angle_gamma 90.00
_symmetry_space_group_name_H-M 'I 4/m m m'
_symmetry_Int_Tables_number 139
_symmetry_space_group_name_Hall '-I 4 2'
loop_
_atom_site_label
_atom_site_type_symbol
_atom_site_fract_x
_atom_site_fract_y
_atom_site_fract_z
In1 In 0.000 0.000 0.113
Cu1 Cu 0.000 0.500 0.250
Ag1 Ag 0.000 0.000 0.500
```



Which structure is the least stable? The one labeled <1>.



<1>
In2CuAg2: relaxed, GGA-PBE.

```
data_In2CuAg2
_chemical_formula_sum 'In4 Cu2 Ag4'
_cell_length_a 6.902
_cell_length_b 6.902
_cell_length_c 4.349
_cell_angle_alpha 90.00
_cell_angle_beta 90.00
_cell_angle_gamma 90.00
_symmetry_space_group_name_H-M 'P 4/m b m'
_symmetry_Int_Tables_number 127
_symmetry_space_group_name_Hall '-P 4 2ab'
loop_
_atom_site_label
_atom_site_type_symbol
_atom_site_fract_x
_atom_site_fract_y
_atom_site_fract_z
In1 In 0.167 0.333 0.000
Cu1 Cu 0.000 0.000 0.500
Ag1 Ag 0.146 0.646 0.500
```



<2>
In2CuAg2: relaxed, GGA-PBE.

```
data_In2CuAg2
_chemical_formula_sum 'In4 Cu2 Ag4'
_cell_length_a 7.113
_cell_length_b 7.113
_cell_length_c 4.131
_cell_angle_alpha 90.00
_cell_angle_beta 90.00
_cell_angle_gamma 90.00
_symmetry_space_group_name_H-M 'P 4/m b m'
_symmetry_Int_Tables_number 127
_symmetry_space_group_name_Hall '-P 4 2ab'
loop_
_atom_site_label
_atom_site_type_symbol
_atom_site_fract_x
_atom_site_fract_y
_atom_site_fract_z
In1 In 0.159 0.341 0.000
Cu1 Cu 0.000 0.000 0.000
Ag1 Ag 0.144 0.644 0.500
```



<3>
In2CuAg2: relaxed, GGA-PBE.

```
data_In2CuAg2
_chemical_formula_sum 'In8 Cu4 Ag8'
_cell_length_a 13.253
_cell_length_b 5.799
_cell_length_c 5.267
_cell_angle_alpha 90.00
_cell_angle_beta 103.39
_cell_angle_gamma 90.00
_symmetry_space_group_name_H-M 'C 1 2/c 1'
_symmetry_Int_Tables_number 15
_symmetry_space_group_name_Hall '-C 2yc'
loop_
_atom_site_label
_atom_site_type_symbol
_atom_site_fract_x
_atom_site_fract_y
_atom_site_fract_z
In1 In 0.108 0.145 0.063
Cu1 Cu 0.000 0.495 0.750
Ag1 Ag 0.177 0.370 0.607
```



Which structure is the least stable? The one labeled <2>.



<1>
In4CuAg: relaxed, GGA-PBE.

```
data_In4CuAg
_chemical_formula_sum 'In16 Cu4 Ag4'
_cell_length_a 8.496
_cell_length_b 8.496
_cell_length_c 8.496
_cell_angle_alpha 90.00
_cell_angle_beta 90.00
_cell_angle_gamma 90.00
_symmetry_space_group_name_H-M 'F -4 3 m'
_symmetry_Int_Tables_number 216
_symmetry_space_group_name_Hall 'F -4 2 3'
loop_
_atom_site_label
_atom_site_type_symbol
_atom_site_fract_x
_atom_site_fract_y
_atom_site_fract_z
In1 In 0.125 0.125 0.125
Cu1 Cu 0.000 0.000 0.500
Ag1 Ag 0.250 0.250 0.750
```



<2>
In4CuAg: relaxed, GGA-PBE.

```
data_In4CuAg
_chemical_formula_sum 'In16 Cu4 Ag4'
_cell_length_a 6.796
_cell_length_b 6.796
_cell_length_c 11.521
_cell_angle_alpha 90.00
_cell_angle_beta 90.00
_cell_angle_gamma 90.00
_symmetry_space_group_name_H-M 'I 4/m c m'
_symmetry_Int_Tables_number 140
_symmetry_space_group_name_Hall '-I 4 2c'
loop_
_atom_site_label
_atom_site_type_symbol
_atom_site_fract_x
_atom_site_fract_y
_atom_site_fract_z
In1 In 0.159 0.341 0.137
Cu1 Cu 0.000 0.000 0.250
Ag1 Ag 0.000 0.000 0.000
```



Which structure is the least stable? The one labeled <1>.



<1>
InCuAg4: relaxed, GGA-PBE.

```
data_InCuAg4
_chemical_formula_sum 'In2 Cu2 Ag8'
_cell_length_a 4.641
_cell_length_b 4.641
_cell_length_c 10.048
_cell_angle_alpha 90.00
_cell_angle_beta 90.24
_cell_angle_gamma 90.00
_symmetry_space_group_name_H-M 'C 1 2/m 1'
_symmetry_Int_Tables_number 12
_symmetry_space_group_name_Hall '-C 2y'
loop_
_atom_site_label
_atom_site_type_symbol
_atom_site_fract_x
_atom_site_fract_y
_atom_site_fract_z
In1 In 0.000 0.000 0.000
Cu1 Cu 0.000 0.500 0.500
Ag1 Ag 0.000 0.000 0.358
Ag2 Ag 0.001 0.500 0.812
```



<2>
InCuAg4: relaxed, GGA-PBE.

```
data_InCuAg4
_chemical_formula_sum 'In4 Cu4 Ag16'
_cell_length_a 7.788
_cell_length_b 7.788
_cell_length_c 7.788
_cell_angle_alpha 90.00
_cell_angle_beta 90.00
_cell_angle_gamma 90.00
_symmetry_space_group_name_H-M 'F -4 3 m'
_symmetry_Int_Tables_number 216
_symmetry_space_group_name_Hall 'F -4 2 3'
loop_
_atom_site_label
_atom_site_type_symbol
_atom_site_fract_x
_atom_site_fract_y
_atom_site_fract_z
In1 In 0.000 0.000 0.000
Cu1 Cu 0.250 0.250 0.250
Ag1 Ag 0.125 0.125 0.625
```



Which structure is the least stable? The one labeled <2>.



<1>
CuAgIr2: relaxed, GGA-PBE.

```
data_CuAgIr2
_chemical_formula_sum 'Cu2 Ag2 Ir4'
_cell_length_a 5.301
_cell_length_b 8.272
_cell_length_c 2.716
_cell_angle_alpha 90.00
_cell_angle_beta 90.00
_cell_angle_gamma 90.00
_symmetry_space_group_name_H-M 'C m m m'
_symmetry_Int_Tables_number 65
_symmetry_space_group_name_Hall '-C 2 2'
loop_
_atom_site_label
_atom_site_type_symbol
_atom_site_fract_x
_atom_site_fract_y
_atom_site_fract_z
Cu1 Cu 0.000 0.000 0.000
Ag1 Ag 0.000 0.500 0.000
Ir1 Ir 0.250 0.250 0.500
```



<2>
CuAgIr2: relaxed, GGA-PBE.

```
data_CuAgIr2
_chemical_formula_sum 'Cu2 Ag2 Ir4'
_cell_length_a 8.945
_cell_length_b 2.774
_cell_length_c 4.888
_cell_angle_alpha 90.00
_cell_angle_beta 99.88
_cell_angle_gamma 90.00
_symmetry_space_group_name_H-M 'C 1 m 1'
_symmetry_Int_Tables_number 8
_symmetry_space_group_name_Hall 'C -2y'
loop_
_atom_site_label
_atom_site_type_symbol
_atom_site_fract_x
_atom_site_fract_y
_atom_site_fract_z
Cu1 Cu 0.000 0.000 0.000
Ag1 Ag 0.253 0.500 0.203
Ir1 Ir 0.012 0.500 0.532
Ir2 Ir 0.257 0.000 0.701
```



<3>
CuAgIr2: relaxed, GGA-PBE.

```
data_CuAgIr2
_chemical_formula_sum 'Cu2 Ag2 Ir4'
_cell_length_a 3.949
_cell_length_b 3.949
_cell_length_c 7.536
_cell_angle_alpha 90.00
_cell_angle_beta 90.00
_cell_angle_gamma 90.00
_symmetry_space_group_name_H-M 'I -4 m 2'
_symmetry_Int_Tables_number 119
_symmetry_space_group_name_Hall 'I -4 -2'
loop_
_atom_site_label
_atom_site_type_symbol
_atom_site_fract_x
_atom_site_fract_y
_atom_site_fract_z
Cu1 Cu 0.000 0.000 0.000
Ag1 Ag 0.000 0.500 0.250
Ir1 Ir 0.000 0.000 0.500
Ir2 Ir 0.000 0.500 0.750
```



Which structure is the least stable? The one labeled <1>.



<1>
CuAgIr2: relaxed, GGA-PBE.

```
data_CuAgIr2
_chemical_formula_sum 'Cu4 Ag4 Ir8'
_cell_length_a 6.185
_cell_length_b 6.185
_cell_length_c 6.185
_cell_angle_alpha 90.00
_cell_angle_beta 90.00
_cell_angle_gamma 90.00
_symmetry_space_group_name_H-M 'F m -3 m'
_symmetry_Int_Tables_number 225
_symmetry_space_group_name_Hall '-F 4 2 3'
loop_
_atom_site_label
_atom_site_type_symbol
_atom_site_fract_x
_atom_site_fract_y
_atom_site_fract_z
Cu1 Cu 0.000 0.000 0.000
Ag1 Ag 0.000 0.000 0.500
Ir1 Ir 0.250 0.250 0.250
```



<2>
CuAgIr2: relaxed, GGA-PBE.

```
data_CuAgIr2
_chemical_formula_sum 'Cu4 Ag4 Ir8'
_cell_length_a 7.367
_cell_length_b 7.367
_cell_length_c 4.863
_cell_angle_alpha 90.00
_cell_angle_beta 90.00
_cell_angle_gamma 90.00
_symmetry_space_group_name_H-M 'I -4 2 d'
_symmetry_Int_Tables_number 122
_symmetry_space_group_name_Hall 'I -4 2bw'
loop_
_atom_site_label
_atom_site_type_symbol
_atom_site_fract_x
_atom_site_fract_y
_atom_site_fract_z
Cu1 Cu 0.000 0.000 0.000
Ag1 Ag 0.000 0.000 0.500
Ir1 Ir 0.201 0.250 0.125
```



Which structure is the least stable? The one labeled <2>.